# LiMg2Pb | Alexandria via LeMat-Bulk | PBEsol | relaxed
# Crystal system: tetragonal
# DFT formation energy in meV/atom: -134
# Electronic total energy in eV/atom: -2.48
data_LiMg2Pb
_chemical_formula_sum 'Li1 Mg2 Pb1'
_cell_length_a 3.6639
_cell_length_b 3.6639
_cell_length_c 6.5367
_cell_angle_alpha 90.00
_cell_angle_beta 90.00
_cell_angle_gamma 90.00
_space_group_name_H-M_alt 'P 1'
_space_group_IT_number 1
loop_
_space_group_symop_operation_xyz
'x,y,z'
loop_
_atom_site_label
_atom_site_type_symbol
_atom_site_fract_x
_atom_site_fract_y
_atom_site_fract_z
Li1 Li 0.0000 0.0000 0.0000
Mg1 Mg 0.0000 0.0000 0.4965
Mg2 Mg 0.5000 0.5000 0.2383
Pb1 Pb 0.5000 0.5000 0.7619



# Sc5Mn | Alexandria via LeMat-Bulk | PBEsol | relaxed
# Crystal system: hexagonal
# DFT formation energy in meV/atom: 692
# Electronic total energy in eV/atom: -6.44
data_Sc5Mn
_chemical_formula_sum 'Sc5 Mn1'
_cell_length_a 5.6857
_cell_length_b 5.6857
_cell_length_c 5.1938
_cell_angle_alpha 90.00
_cell_angle_beta 90.00
_cell_angle_gamma 120.00
_space_group_name_H-M_alt 'P 1'
_space_group_IT_number 1
loop_
_space_group_symop_operation_xyz
'x,y,z'
loop_
_atom_site_label
_atom_site_type_symbol
_atom_site_fract_x
_atom_site_fract_y
_atom_site_fract_z
Sc1 Sc 0.0000 0.5000 0.0000
Sc2 Sc 0.3333 0.6667 0.5000
Sc3 Sc 0.5000 0.0000 0.0000
Sc4 Sc 0.5000 0.5000 0.0000
Sc5 Sc 0.6667 0.3333 0.5000
Mn1 Mn 0.0000 0.0000 0.5000



# LiYOF2 | Alexandria via LeMat-Bulk | PBEsol | relaxed
# Crystal system: tetragonal
# Uncorrected formation energy in eV/atom: -3.1723
# Electronic total energy in eV/atom: -6.75
data_LiYOF2
_chemical_formula_sum 'Li1 Y1 O1 F2'
_cell_length_a 3.4735
_cell_length_b 3.4735
_cell_length_c 3.9881
_cell_angle_alpha 90.00
_cell_angle_beta 90.00
_cell_angle_gamma 90.00
_space_group_name_H-M_alt 'P 1'
_space_group_IT_number 1
loop_
_space_group_symop_operation_xyz
'x,y,z'
loop_
_atom_site_label
_atom_site_type_symbol
_atom_site_fract_x
_atom_site_fract_y
_atom_site_fract_z
Li1 Li 0.0000 0.0000 0.0000
Y1 Y 0.5000 0.5000 0.5000
O1 O 0.0000 0.0000 0.5000
F1 F 0.0000 0.5000 0.0000
F2 F 0.5000 0.0000 0.0000



# La2SeBr | Alexandria via LeMat-Bulk | PBEsol | relaxed
# Crystal system: cubic
# Uncorrected formation energy in eV/atom: -1.5623
# Electronic total energy in eV/atom: -5.67
data_La2SeBr
_chemical_formula_sum 'La2 Se1 Br1'
_cell_length_a 5.1900
_cell_length_b 5.1900
_cell_length_c 5.1900
_cell_angle_alpha 60.00
_cell_angle_beta 60.00
_cell_angle_gamma 60.00
_space_group_name_H-M_alt 'P 1'
_space_group_IT_number 1
loop_
_space_group_symop_operation_xyz
'x,y,z'
loop_
_atom_site_label
_atom_site_type_symbol
_atom_site_fract_x
_atom_site_fract_y
_atom_site_fract_z
La1 La 0.2500 0.2500 0.2500
La2 La 0.7500 0.7500 0.7500
Se1 Se 0.0000 0.0000 0.0000
Br1 Br 0.5000 0.5000 0.5000



# Li4CuP2O8 | Alexandria via LeMat-Bulk | PBEsol | relaxed
# Crystal system: triclinic
# Uncorrected formation energy in eV/atom: -2.1035
# Electronic total energy in eV/atom: -6.49
data_Li4CuP2O8
_chemical_formula_sum 'Li4 Cu1 P2 O8'
_cell_length_a 4.6152
_cell_length_b 5.6477
_cell_length_c 5.8571
_cell_angle_alpha 95.75
_cell_angle_beta 96.29
_cell_angle_gamma 99.52
_space_group_name_H-M_alt 'P 1'
_space_group_IT_number 1
loop_
_space_group_symop_operation_xyz
'x,y,z'
loop_
_atom_site_label
_atom_site_type_symbol
_atom_site_fract_x
_atom_site_fract_y
_atom_site_fract_z
Li1 Li 0.1789 0.2745 0.0912
Li2 Li 0.2181 0.5163 0.6681
Li3 Li 0.7819 0.4837 0.3319
Li4 Li 0.8211 0.7255 0.9088
Cu1 Cu 0.0000 0.0000 0.5000
P1 P 0.3700 0.7795 0.2132
P2 P 0.6300 0.2205 0.7868
O1 O 0.2360 0.5822 0.3562
O2 O 0.2579 0.7007 0.9567
O3 O 0.2841 0.1971 0.7561
O4 O 0.2848 0.0287 0.2899
O5 O 0.7152 0.9713 0.7101
O6 O 0.7159 0.8029 0.2439
O7 O 0.7421 0.2993 0.0433
O8 O 0.7640 0.4178 0.6438



# Rb2BaSrCl | Alexandria via LeMat-Bulk | PBEsol | relaxed
# Crystal system: tetragonal
# Uncorrected formation energy in eV/atom: -0.5891
# Electronic total energy in eV/atom: -2.20
data_Rb2BaSrCl
_chemical_formula_sum 'Rb2 Ba1 Sr1 Cl1'
_cell_length_a 6.6338
_cell_length_b 6.6338
_cell_length_c 6.2823
_cell_angle_alpha 90.00
_cell_angle_beta 90.00
_cell_angle_gamma 90.00
_space_group_name_H-M_alt 'P 1'
_space_group_IT_number 1
loop_
_space_group_symop_operation_xyz
'x,y,z'
loop_
_atom_site_label
_atom_site_type_symbol
_atom_site_fract_x
_atom_site_fract_y
_atom_site_fract_z
Rb1 Rb 0.0000 0.5000 0.0000
Rb2 Rb 0.5000 0.0000 0.0000
Ba1 Ba 0.0000 0.0000 0.5000
Sr1 Sr 0.5000 0.5000 0.5000
Cl1 Cl 0.0000 0.0000 0.0000



# PbC | Alexandria via LeMat-Bulk | PBEsol | relaxed
# Crystal system: trigonal
# DFT formation energy in meV/atom: 1203
# Electronic total energy in eV/atom: -5.62
data_PbC
_chemical_formula_sum 'Pb2 C2'
_cell_length_a 11.1937
_cell_length_b 11.1937
_cell_length_c 11.1937
_cell_angle_alpha 14.69
_cell_angle_beta 14.69
_cell_angle_gamma 14.69
_space_group_name_H-M_alt 'P 1'
_space_group_IT_number 1
loop_
_space_group_symop_operation_xyz
'x,y,z'
loop_
_atom_site_label
_atom_site_type_symbol
_atom_site_fract_x
_atom_site_fract_y
_atom_site_fract_z
Pb1 Pb 0.1115 0.1115 0.1115
Pb2 Pb 0.8885 0.8885 0.8885
C1 C 0.3333 0.3333 0.3333
C2 C 0.6667 0.6667 0.6667



# TeIr2O | Alexandria via LeMat-Bulk | PBEsol | relaxed
# Crystal system: tetragonal
# Uncorrected formation energy in eV/atom: 0.1693
# Electronic total energy in eV/atom: -6.94
data_TeIr2O
_chemical_formula_sum 'Te2 Ir4 O2'
_cell_length_a 7.0946
_cell_length_b 7.0946
_cell_length_c 7.0946
_cell_angle_alpha 141.41
_cell_angle_beta 141.41
_cell_angle_gamma 55.72
_space_group_name_H-M_alt 'P 1'
_space_group_IT_number 1
loop_
_space_group_symop_operation_xyz
'x,y,z'
loop_
_atom_site_label
_atom_site_type_symbol
_atom_site_fract_x
_atom_site_fract_y
_atom_site_fract_z
Te1 Te 0.0000 0.0000 0.0000
Te2 Te 0.7500 0.2500 0.5000
Ir1 Ir 0.2578 0.6250 0.1328
Ir2 Ir 0.3750 0.5078 0.6328
Ir3 Ir 0.4922 0.1250 0.8672
Ir4 Ir 0.8750 0.7422 0.3672
O1 O 0.2500 0.7500 0.5000
O2 O 0.5000 0.5000 0.0000



# CaZnAs2 | Alexandria via LeMat-Bulk | PBEsol | relaxed
# Crystal system: monoclinic
# DFT formation energy in meV/atom: -375
# Electronic total energy in eV/atom: -3.86
data_CaZnAs2
_chemical_formula_sum 'Ca1 Zn1 As2'
_cell_length_a 4.6786
_cell_length_b 4.6786
_cell_length_c 5.4387
_cell_angle_alpha 110.91
_cell_angle_beta 110.91
_cell_angle_gamma 48.48
_space_group_name_H-M_alt 'P 1'
_space_group_IT_number 1
loop_
_space_group_symop_operation_xyz
'x,y,z'
loop_
_atom_site_label
_atom_site_type_symbol
_atom_site_fract_x
_atom_site_fract_y
_atom_site_fract_z
Ca1 Ca 0.0000 0.0000 0.0000
Zn1 Zn 0.5000 0.5000 0.5000
As1 As 0.2238 0.2238 0.6783
As2 As 0.7762 0.7762 0.3217



# AgHgIr2 | Alexandria via LeMat-Bulk | PBEsol | relaxed
# Crystal system: tetragonal
# DFT formation energy in meV/atom: 635
# Electronic total energy in eV/atom: -5.25
data_AgHgIr2
_chemical_formula_sum 'Ag1 Hg1 Ir2'
_cell_length_a 2.8107
_cell_length_b 2.8107
_cell_length_c 8.0666
_cell_angle_alpha 90.00
_cell_angle_beta 90.00
_cell_angle_gamma 90.00
_space_group_name_H-M_alt 'P 1'
_space_group_IT_number 1
loop_
_space_group_symop_operation_xyz
'x,y,z'
loop_
_atom_site_label
_atom_site_type_symbol
_atom_site_fract_x
_atom_site_fract_y
_atom_site_fract_z
Ag1 Ag 0.0000 0.0000 0.0000
Hg1 Hg 0.0000 0.0000 0.5000
Ir1 Ir 0.5000 0.5000 0.2422
Ir2 Ir 0.5000 0.5000 0.7578



# MnAsCl2 | Alexandria via LeMat-Bulk | PBEsol | relaxed
# Crystal system: orthorhombic
# Uncorrected formation energy in eV/atom: -0.0895
# Electronic total energy in eV/atom: -4.81
data_MnAsCl2
_chemical_formula_sum 'Mn1 As1 Cl2'
_cell_length_a 3.3118
_cell_length_b 3.3118
_cell_length_c 8.6017
_cell_angle_alpha 90.00
_cell_angle_beta 90.00
_cell_angle_gamma 120.06
_space_group_name_H-M_alt 'P 1'
_space_group_IT_number 1
loop_
_space_group_symop_operation_xyz
'x,y,z'
loop_
_atom_site_label
_atom_site_type_symbol
_atom_site_fract_x
_atom_site_fract_y
_atom_site_fract_z
Mn1 Mn 0.0000 0.0000 0.0000
As1 As 0.5000 0.5000 0.2121
Cl1 Cl 0.0000 0.0000 0.4478
Cl2 Cl 0.5000 0.5000 0.8142



# MgSb2TeI | Alexandria via LeMat-Bulk | PBEsol | relaxed
# Crystal system: tetragonal
# Uncorrected formation energy in eV/atom: 0.9065
# Electronic total energy in eV/atom: -2.32
data_MgSb2TeI
_chemical_formula_sum 'Mg1 Sb2 Te1 I1'
_cell_length_a 5.7122
_cell_length_b 5.7122
_cell_length_c 5.7001
_cell_angle_alpha 90.00
_cell_angle_beta 90.00
_cell_angle_gamma 90.00
_space_group_name_H-M_alt 'P 1'
_space_group_IT_number 1
loop_
_space_group_symop_operation_xyz
'x,y,z'
loop_
_atom_site_label
_atom_site_type_symbol
_atom_site_fract_x
_atom_site_fract_y
_atom_site_fract_z
Mg1 Mg 0.0000 0.0000 0.0000
Sb1 Sb 0.0000 0.5000 0.5000
Sb2 Sb 0.5000 0.0000 0.5000
Te1 Te 0.5000 0.5000 0.0000
I1 I 0.5000 0.5000 0.5000



Number 1: size of the total moment 0.0 μB per cell. Number 2: size of the total moment 3.1 μB per cell. Number 3: size of the total moment 0.0 μB per cell. Number 4: size of the total moment 0.0 μB per cell. Number 5: size of the total moment 1.0 μB per cell. Number 6: size of the total moment 0.0 μB per cell. Number 7: size of the total moment 0.0 μB per cell. Number 8: size of the total moment 0.0 μB per cell. Number 9: size of the total moment 0.0 μB per cell. Number 10: size of the total moment 0.0 μB per cell. Number 11: size of the total moment 3.7 μB per cell. Number 12: size of the total moment 0.0 μB per cell.